A crystal of LiTl2Ag relaxed with PBEsol, computed with SCAN.

- distance to the lowest polymorph of the same formula (meV per atom) = 29
- calculated formation energy (eV per atom) = -0.057

```
data_LiTl2Ag
_space_group_name_H-M_alt 'C 1 m 1'
_space_group_IT_number 8
_cell_length_a 10.645
_cell_length_b 3.237
_cell_length_c 5.092
_cell_angle_alpha 90.00
_cell_angle_beta 104.12
_cell_angle_gamma 90.00
loop_
_space_group_symop_operation_xyz
'x,y,z'
'x,-y,z'
'x+1/2,y+1/2,z'
'x+1/2,-y+1/2,z'
loop_
_atom_site_label
_atom_site_type_symbol
_atom_site_fract_x
_atom_site_fract_y
_atom_site_fract_z
Li1 Li 0.000 0.000 0.000
Tl1 Tl 0.248 0.000 0.821
Tl2 Tl 0.468 0.000 0.473
Ag1 Ag 0.210 0.500 0.288
```